The following is a PBE calculation of a relaxed structure of MnAg2HgI6, from the Alexandria database.

Cell: 7.6491 7.6531 8.6223 Å, 89.97 63.69 60.03°
With the nearest neighbours (Å) after each atom.
Positions (direct):
Mn  0.0000  0.0000  0.0000  6 I 2.83-3.03
Ag  0.3369  0.3320  0.9948  6 I 2.99-3.20
Ag  0.5366  0.7316  0.1959  3 I 2.77
Hg  0.8184  0.5912  0.7713  3 I 2.79
I  0.1602  0.7493  0.2087  2 Ag 2.77-2.99, 1 Mn 2.83
I  0.1929  0.6004  0.7381  1 Hg 2.79, 1 Mn 3.03
I  0.4680  0.9325  0.7380  1 Hg 2.79, 1 Mn 3.03
I  0.5410  0.0904  0.2086  2 Ag 2.77-2.99, 1 Mn 2.83
I  0.8605  0.2077  0.7383  1 Hg 2.79, 1 Mn 3.03
I  0.8825  0.3683  0.2085  2 Ag 2.77-2.99, 1 Mn 2.83

- VASP energy: -2.7194 eV/atom
- Space group: P1
- ΔE_f (raw): -0.27 eV/atom